No. 1
BaLiAs2: relaxed, GGA-PBE.

Computed properties:
Excess energy over the best structure of this formula in the dataset in eV/f.u.: 0.97
SG: R-3m (166)
Final energy in eV for the cell shown: -15.39

a = 6.2642 Å, b = 6.2642 Å, c = 6.2642 Å
α = 44.00°, β = 44.00°, γ = 44.00°
Positions (direct):
1 Ba 0.0000 0.0000 0.0000
2 Li 0.5000 0.5000 0.5000
3 As 0.1954 0.1954 0.1954
4 As 0.8046 0.8046 0.8046

No. 2
Ba2LiAs: relaxed, GGA-PBE.

Computed properties:
SG: Amm2 (38)
Final energy in eV for the cell shown: -13.05

a = 4.6693 Å, b = 6.8190 Å, c = 6.8190 Å
α = 40.87°, β = 90.00°, γ = 90.00°
Positions (direct):
1 Ba 0.0000 0.0000 0.0000
2 Ba 0.5000 0.2753 0.2753
3 Li 0.0000 0.6785 0.6785
4 As 0.5000 0.5702 0.5702

No. 3
Ba2LiAs2: relaxed, GGA-PBE.

Computed properties:
Excess energy over the best structure of this formula in the dataset in eV/f.u.: 0.00
SG: C2/m (12)
Final energy in eV for the cell shown: -39.73

a = 6.4425 Å, b = 6.4425 Å, c = 11.6358 Å
α = 108.88°, β = 108.88°, γ = 41.59°
Positions (direct):
1 Ba 0.0899 0.0899 0.4122
2 Ba 0.3070 0.3070 0.8522
3 Ba 0.6930 0.6930 0.1478
4 Ba 0.9101 0.9101 0.5878
5 Li 0.4155 0.4155 0.1718
6 Li 0.5845 0.5845 0.8282
7 As 0.0432 0.0432 0.9147
8 As 0.3453 0.3453 0.3546
9 As 0.6547 0.6547 0.6454
10 As 0.9568 0.9568 0.0853

No. 4
BaLiAs2: relaxed, GGA-PBE.

Computed properties:
Excess energy over the best structure of this formula in the dataset in eV/f.u.: 2.00
SG: I-4m2 (119)
Final energy in eV for the cell shown: -14.36

a = 5.8748 Å, b = 5.8748 Å, c = 5.8748 Å
α = 133.70°, β = 133.70°, γ = 67.55°
Positions (direct):
1 Ba 0.0000 0.0000 0.0000
2 Li 0.2500 0.7500 0.5000
3 As 0.5000 0.5000 0.0000
4 As 0.7500 0.2500 0.5000

No. 5
Ba3LiAs: relaxed, GGA-PBE.

Computed properties:
Excess energy over the best structure of this formula in the dataset in eV/f.u.: 0.00
SG: Pm-3m (221)
Final energy in eV for the cell shown: -14.47

a = 6.4559 Å, b = 6.4559 Å, c = 6.4559 Å
α = 90.00°, β = 90.00°, γ = 90.00°
Positions (direct):
1 Ba 0.0000 0.0000 0.5000
2 Ba 0.0000 0.5000 0.0000
3 Ba 0.5000 0.0000 0.0000
4 Li 0.5000 0.5000 0.5000
5 As 0.0000 0.0000 0.0000

No. 6
BaLiAs2: relaxed, GGA-PBE.

Computed properties:
Excess energy over the best structure of this formula in the dataset in eV/f.u.: 0.65
SG: Pm (6)
Final energy in eV for the cell shown: -15.71

a = 4.4701 Å, b = 4.4574 Å, c = 6.2380 Å
α = 90.00°, β = 110.83°, γ = 90.00°
Positions (direct):
1 Ba 0.0000 0.0000 0.0000
2 Li 0.2337 0.5000 0.4705
3 As 0.5991 0.5000 0.1991
4 As 0.7141 0.0000 0.4322

No. 7
BaLiAs2: relaxed, GGA-PBE.

Computed properties:
Excess energy over the best structure of this formula in the dataset in eV/f.u.: 0.37
SG: C2/m (12)
Final energy in eV for the cell shown: -15.99

a = 4.9504 Å, b = 4.9504 Å, c = 5.7008 Å
α = 106.54°, β = 106.54°, γ = 54.57°
Positions (direct):
1 Ba 0.0000 0.0000 0.0000
2 Li 0.5000 0.5000 0.5000
3 As 0.2444 0.2444 0.6171
4 As 0.7556 0.7556 0.3829

No. 8
BaLiAs: relaxed, GGA-PBE.

Computed properties:
SG: Pnma (62)
Final energy in eV for the cell shown: -45.57

a = 7.9271 Å, b = 4.5944 Å, c = 9.1122 Å
α = 90.00°, β = 90.00°, γ = 90.00°
Positions (direct):
1 Ba 0.0098 0.2500 0.1937
2 Ba 0.4902 0.7500 0.6937
3 Ba 0.5098 0.2500 0.3063
4 Ba 0.9902 0.7500 0.8063
5 Li 0.1236 0.2500 0.5426
6 Li 0.3764 0.7500 0.0426
7 Li 0.6236 0.2500 0.9574
8 Li 0.8764 0.7500 0.4574
9 As 0.2158 0.7500 0.4118
10 As 0.2842 0.2500 0.9118
11 As 0.7158 0.7500 0.0882
12 As 0.7842 0.2500 0.5882

No. 9
Ba2Li4As: relaxed, GGA-PBE.

Computed properties:
SG: I4/mmm (139)
Final energy in eV for the cell shown: -17.68

a = 10.6058 Å, b = 10.6058 Å, c = 10.6058 Å
α = 152.92°, β = 152.92°, γ = 38.67°
Positions (direct):
1 Ba 0.1794 0.1794 0.0000
2 Ba 0.8206 0.8206 0.0000
3 Li 0.0000 0.5000 0.5000
4 Li 0.3775 0.3775 0.0000
5 Li 0.5000 0.0000 0.5000
6 Li 0.6225 0.6225 0.0000
7 As 0.5000 0.5000 0.0000

No. 10
BaLiMgAs2: relaxed, GGA-PBE.

Computed properties:
Excess energy over the best structure of this formula in the dataset in eV/f.u.: 0.00
SG: I-4m2 (119)
Final energy in eV for the cell shown: -18.90

a = 6.8463 Å, b = 6.8463 Å, c = 6.8463 Å
α = 141.88°, β = 141.88°, γ = 55.01°
Positions (direct):
1 Ba 0.0000 0.0000 0.0000
2 Li 0.2500 0.7500 0.5000
3 Mg 0.7500 0.2500 0.5000
4 As 0.3738 0.3738 0.0000
5 As 0.6262 0.6262 0.0000

No. 11
Ba2Li3MgAs4: relaxed, GGA-PBE.

Computed properties:
SG: P-4m2 (115)
Final energy in eV for the cell shown: -38.61

a = 4.5107 Å, b = 4.5107 Å, c = 11.1438 Å
α = 90.00°, β = 90.00°, γ = 90.00°
Positions (direct):
1 Ba 0.0000 0.5000 0.2409
2 Ba 0.5000 0.0000 0.7591
3 Li 0.0000 0.5000 0.8746
4 Li 0.5000 0.0000 0.1254
5 Li 0.5000 0.5000 0.5000
6 Mg 0.0000 0.0000 0.5000
7 As 0.0000 0.0000 0.0000
8 As 0.0000 0.5000 0.6373
9 As 0.5000 0.0000 0.3627
10 As 0.5000 0.5000 0.0000

No. 12
BaLiMgAs2: relaxed, GGA-PBE.

Computed properties:
Excess energy over the best structure of this formula in the dataset in eV/f.u.: 7.91
SG: P4/mmm (123)
Final energy in eV for the cell shown: -10.99

a = 5.8173 Å, b = 5.8173 Å, c = 5.5605 Å
α = 90.00°, β = 90.00°, γ = 90.00°
Positions (direct):
1 Ba 0.0000 0.0000 0.0000
2 Li 0.0000 0.0000 0.5000
3 Mg 0.5000 0.5000 0.5000
4 As 0.0000 0.5000 0.0000
5 As 0.5000 0.0000 0.0000

Record order is preserved below.
Ρ: 4.5 4.2 4.8 4.7 3.0 4.2 4.5 4.4 2.5 4.4 4.5 2.8 g cm⁻³
Record order is preserved below.
E_form: -0.564 -0.661 -0.962 -0.306 -0.427 -0.644 -0.714 -0.969 -0.219 -0.833 -0.883 0.748 eV/atom